(1)
DFT (PBE-GGA) results for BaLi2GaPt after structural relaxation.

Summary:
N(E_F): 0.401 states/eV per atom

a = 4.941 Å, b = 4.941 Å, c = 4.901 Å
α = 90.00°, β = 90.00°, γ = 90.00°
Space group P4/mmm (No. 123)
Inequivalent atoms, fractional coordinates:
Ba  0.000  0.000  0.000 x1
Li  0.000  0.500  0.500 x2
Ga  0.500  0.500  0.500 x1
Pt  0.500  0.500  0.000 x1

***

(2)
DFT (PBE-GGA) results for BaLi2GaPt after structural relaxation.

Summary:
N(E_F): 0.531 states/eV per atom

a = 5.008 Å, b = 5.008 Å, c = 4.854 Å
α = 90.00°, β = 90.00°, γ = 90.00°
Space group P4/mmm (No. 123)
Inequivalent atoms, fractional coordinates:
Ba  0.000  0.000  0.000 x1
Li  0.000  0.500  0.500 x2
Ga  0.500  0.500  0.000 x1
Pt  0.500  0.500  0.500 x1

***

Result of the stability comparison: (1) is the least stable of them.